First-principles (GGA-PBE) data for a relaxed structure of Zn4NiP, as listed in Alexandria.

## Properties
Its magnetic moment is 0.0 μB per formula unit. For the energy relative to the elements, the calculation gives 6.172 kcal/mol of atoms. The value obtained for the energy is -0.0899 Ha/atom. As for the space-group type: No. 216.

Lattice parameters (Å, degrees): 4.986 4.986 4.986 60.00 60.00 60.00
Positions (direct):
Zn: 0.624 0.624 0.127
Zn: 0.624 0.127 0.624
Zn: 0.624 0.624 0.624
Zn: 0.127 0.624 0.624
Ni: 0.250 0.250 0.250
P: 0.000 0.000 0.000